# BeRh2S | Alexandria | PBE-GGA | relaxed
# **SG**: I-42d (122)
# **D(E_F)**: 4.6 states/eV/cell
# **Formation energy from raw total energies**: 0.036 eV per atom
# **Total magnetic moment**: 0.00 μB/atom
data_BeRh2S
_chemical_formula_sum 'Be2 Rh4 S2'
_cell_length_a 5.0604
_cell_length_b 5.0604
_cell_length_c 6.2199
_cell_angle_alpha 66.00
_cell_angle_beta 66.00
_cell_angle_gamma 90.00
_symmetry_space_group_name_H-M 'P 1'
_symmetry_Int_Tables_number 1
_symmetry_space_group_name_Hall 'P 1'
loop_
_atom_site_label
_atom_site_type_symbol
_atom_site_fract_x
_atom_site_fract_y
_atom_site_fract_z
Rh1 Rh 0.6096 0.1250 0.2500
Be1 Be 0.2500 0.7500 0.5000
Rh2 Rh 0.3750 0.3904 0.7500
Rh3 Rh 0.1404 0.6250 0.2500
S1 S 0.0000 0.0000 0.0000
S2 S 0.7500 0.2500 0.5000
Be2 Be 0.5000 0.5000 0.0000
Rh4 Rh 0.8750 0.8596 0.7500